Record 1
# Pr3Bi2N (GGA-PBE, relaxed)
# Relative energy among the computed polymorphs in eV/atom: 0.125
# D(E_F) in states/eV per atom: 0.4589
# Calculated volume in Å³ per cell: 343.00
# Magnetization in Bohr magnetons per cell: 0.00
# Formation energy (no corrections) in meV/atom: -830
data_Pr3Bi2N
_chemical_formula_sum 'Pr6 Bi4 N2'
_cell_length_a 3.623
_cell_length_b 6.294
_cell_length_c 15.041
_cell_angle_alpha 90.00
_cell_angle_beta 90.00
_cell_angle_gamma 90.00
_space_group_name_H-M_alt 'I m m m'
_space_group_IT_number 71
_space_group_name_Hall '-I 2 2'
loop_
_atom_site_label
_atom_site_fract_x
_atom_site_fract_y
_atom_site_fract_z
_atom_site_occupancy
Pr1 0.000 0.000 0.000 1
Pr2 0.000 0.000 0.386 1
Bi1 0.000 0.500 0.316 1
N1 0.000 0.500 0.000 1

Record 2
# Ac3AsPb (GGA-PBE, relaxed)
# Energy of formation from the pure elements in meV per atom: -799
# Relative energy among the computed polymorphs in eV/atom: 0.000
# D(E_F) in states/eV per atom: 0.8523
# Calculated volume in Å³ per cell: 752.36
# Magnetization in Bohr magnetons per cell: 1.98
data_Ac3AsPb
_chemical_formula_sum 'Ac12 As4 Pb4'
_cell_length_a 9.412
_cell_length_b 4.690
_cell_length_c 17.046
_cell_angle_alpha 90.00
_cell_angle_beta 90.00
_cell_angle_gamma 90.00
_space_group_name_H-M_alt 'P n m a'
_space_group_IT_number 62
_space_group_name_Hall '-P 2ac 2n'
loop_
_atom_site_label
_atom_site_fract_x
_atom_site_fract_y
_atom_site_fract_z
_atom_site_occupancy
Ac1 0.016 0.250 0.107 1
Ac2 0.154 0.250 0.537 1
Ac3 0.168 0.750 0.287 1
As1 0.192 0.250 0.949 1
Pb1 0.112 0.750 0.691 1

Record 3
# LiCa2Tl4 (GGA-PBE, relaxed)
# Energy of formation from the pure elements in meV per atom: -134
# Relative energy among the computed polymorphs in eV/atom: 0.089
# D(E_F) in states/eV per atom: 0.5477
# Calculated volume in Å³ per cell: 419.94
# Magnetization in Bohr magnetons per cell: 0.00
data_LiCa2Tl4
_chemical_formula_sum 'Li2 Ca4 Tl8'
_cell_length_a 5.069
_cell_length_b 5.069
_cell_length_c 16.342
_cell_angle_alpha 90.00
_cell_angle_beta 90.00
_cell_angle_gamma 90.00
_space_group_name_H-M_alt 'I 4/m m m'
_space_group_IT_number 139
_space_group_name_Hall '-I 4 2'
loop_
_atom_site_label
_atom_site_fract_x
_atom_site_fract_y
_atom_site_fract_z
_atom_site_occupancy
Li1 0.000 0.000 0.000 1
Ca1 0.000 0.000 0.363 1
Tl1 0.000 0.000 0.167 1
Tl2 0.000 0.500 0.000 1

Record 4
# CaCuAsHO5 (GGA-PBE, relaxed)
# Calculated volume in Å³ per cell: 416.22
# Uncorrected energy in eV/atom: -5.88
# Magnetization in Bohr magnetons per cell: 4.02
data_CaCuAsHO5
_chemical_formula_sum 'Ca4 Cu4 As4 H4 O20'
_cell_length_a 5.884
_cell_length_b 7.421
_cell_length_c 9.533
_cell_angle_alpha 90.00
_cell_angle_beta 90.00
_cell_angle_gamma 90.00
_space_group_name_H-M_alt 'P 21 21 21'
_space_group_IT_number 19
_space_group_name_Hall 'P 2ac 2ab'
loop_
_atom_site_label
_atom_site_fract_x
_atom_site_fract_y
_atom_site_fract_z
_atom_site_occupancy
Ca1 0.019 0.133 0.180 1
Cu1 0.248 0.746 0.998 1
As1 0.016 0.619 0.661 1
H1 0.016 0.991 0.482 1
O1 0.002 0.938 0.960 1
O2 0.004 0.110 0.433 1
O3 0.087 0.793 0.551 1
O4 0.237 0.138 0.750 1
O5 0.246 0.602 0.772 1

Record 5
# Pm4PAuCl2 (GGA-PBE, relaxed)
# D(E_F) in states/eV per atom: 0.5242
# Calculated volume in Å³ per cell: 205.92
# Magnetization in Bohr magnetons per cell: 0.00
# Formation energy (no corrections) in meV/atom: -1317
data_Pm4PAuCl2
_chemical_formula_sum 'Pm4 P1 Au1 Cl2'
_cell_length_a 7.134
_cell_length_b 4.128
_cell_length_c 7.395
_cell_angle_alpha 90.00
_cell_angle_beta 108.98
_cell_angle_gamma 90.00
_space_group_name_H-M_alt 'P 1 2/m 1'
_space_group_IT_number 10
_space_group_name_Hall '-P 2y'
loop_
_atom_site_label
_atom_site_fract_x
_atom_site_fract_y
_atom_site_fract_z
_atom_site_occupancy
Pm1 0.231 0.000 0.230 1
Pm2 0.236 0.500 0.752 1
P1 0.000 0.500 0.000 1
Au1 0.000 0.000 0.500 1
Cl1 0.500 0.000 0.000 1
Cl2 0.500 0.500 0.500 1

Record 6
# PmTh5Pb5 (GGA-PBE, relaxed)
# Energy of formation from the pure elements in meV per atom: -96
# D(E_F) in states/eV per atom: 0.6114
# Calculated volume in Å³ per cell: 780.37
# Magnetization in Bohr magnetons per cell: 0.00
data_PmTh5Pb5
_chemical_formula_sum 'Pm2 Th10 Pb10'
_cell_length_a 14.196
_cell_length_b 6.408
_cell_length_c 9.057
_cell_angle_alpha 90.00
_cell_angle_beta 108.71
_cell_angle_gamma 90.00
_space_group_name_H-M_alt 'C 1 2/m 1'
_space_group_IT_number 12
_space_group_name_Hall '-C 2y'
loop_
_atom_site_label
_atom_site_fract_x
_atom_site_fract_y
_atom_site_fract_z
_atom_site_occupancy
Pm1 0.000 0.000 0.000 1
Th1 0.000 0.000 0.500 1
Th2 0.161 0.500 0.824 1
Th3 0.162 0.500 0.337 1
Pb1 0.000 0.500 0.000 1
Pb2 0.166 0.000 0.333 1
Pb3 0.171 0.000 0.835 1

Record 7
# Pm5DyEr5 (GGA-PBE, relaxed)
# Energy of formation from the pure elements in meV per atom: 266
# D(E_F) in states/eV per atom: 1.6899
# Calculated volume in Å³ per cell: 731.44
# Magnetization in Bohr magnetons per cell: 1.22
data_Pm5DyEr5
_chemical_formula_sum 'Pm10 Dy2 Er10'
_cell_length_a 18.865
_cell_length_b 5.943
_cell_length_c 7.016
_cell_angle_alpha 90.00
_cell_angle_beta 111.59
_cell_angle_gamma 90.00
_space_group_name_H-M_alt 'C 1 2/m 1'
_space_group_IT_number 12
_space_group_name_Hall '-C 2y'
loop_
_atom_site_label
_atom_site_fract_x
_atom_site_fract_y
_atom_site_fract_z
_atom_site_occupancy
Pm1 0.000 0.000 0.000 1
Pm2 0.177 0.500 0.422 1
Pm3 0.177 0.500 0.933 1
Dy1 0.000 0.500 0.000 1
Er1 0.000 0.500 0.500 1
Er2 0.122 0.000 0.624 1
Er3 0.169 0.000 0.170 1

Record 8
# LiYbNbO3 (GGA-PBE, relaxed)
# Relative energy among the computed polymorphs in eV/atom: 0.352
# D(E_F) in states/eV per atom: 1.2845
# Calculated volume in Å³ per cell: 80.08
# Magnetization in Bohr magnetons per cell: 0.86
# Formation energy (no corrections) in meV/atom: -1714
data_LiYbNbO3
_chemical_formula_sum 'Li1 Yb1 Nb1 O3'
_cell_length_a 4.009
_cell_length_b 4.009
_cell_length_c 4.981
_cell_angle_alpha 90.00
_cell_angle_beta 90.00
_cell_angle_gamma 90.00
_space_group_name_H-M_alt 'P 4/m m m'
_space_group_IT_number 123
_space_group_name_Hall '-P 4 2'
loop_
_atom_site_label
_atom_site_fract_x
_atom_site_fract_y
_atom_site_fract_z
_atom_site_occupancy
Li1 0.000 0.000 0.000 1
Yb1 0.000 0.000 0.500 1
Nb1 0.500 0.500 0.000 1
O1 0.000 0.500 0.000 1
O2 0.500 0.500 0.500 1

Record 9
# TmIn6Cu6 (GGA-PBE, relaxed)
# Energy of formation from the pure elements in meV per atom: -123
# D(E_F) in states/eV per atom: 0.2183
# Calculated volume in Å³ per cell: 465.89
# Magnetization in Bohr magnetons per cell: 0.00
data_TmIn6Cu6
_chemical_formula_sum 'Tm2 In12 Cu12'
_cell_length_a 5.487
_cell_length_b 9.197
_cell_length_c 9.232
_cell_angle_alpha 90.00
_cell_angle_beta 90.00
_cell_angle_gamma 90.00
_space_group_name_H-M_alt 'I m m m'
_space_group_IT_number 71
_space_group_name_Hall '-I 2 2'
loop_
_atom_site_label
_atom_site_fract_x
_atom_site_fract_y
_atom_site_fract_z
_atom_site_occupancy
Tm1 0.000 0.000 0.000 1
In1 0.000 0.000 0.341 1
In2 0.000 0.337 0.000 1
In3 0.000 0.500 0.321 1
Cu1 0.000 0.262 0.500 1
Cu2 0.250 0.250 0.250 1

Record 10
# AcNiH3 (GGA-PBE, relaxed)
# Relative energy among the computed polymorphs in eV/atom: 0.035
# D(E_F) in states/eV per atom: 0.5392
# Calculated volume in Å³ per cell: 55.07
# Magnetization in Bohr magnetons per cell: 0.00
data_AcNiH3
_chemical_formula_sum 'Ac1 Ni1 H3'
_cell_length_a 3.805
_cell_length_b 3.805
_cell_length_c 3.805
_cell_angle_alpha 90.00
_cell_angle_beta 90.00
_cell_angle_gamma 90.00
_space_group_name_H-M_alt 'P m -3 m'
_space_group_IT_number 221
_space_group_name_Hall '-P 4 2 3'
loop_
_atom_site_label
_atom_site_fract_x
_atom_site_fract_y
_atom_site_fract_z
_atom_site_occupancy
Ac1 0.000 0.000 0.000 1
Ni1 0.500 0.500 0.500 1
H1 0.000 0.500 0.500 1

Record 11
# PmH8Rh4Au (GGA-PBE, relaxed)
# D(E_F) in states/eV per atom: 0.2964
# Calculated volume in Å³ per cell: 398.46
# Uncorrected energy in eV/atom: -4.75
# Magnetization in Bohr magnetons per cell: 0.00
data_PmH8Rh4Au
_chemical_formula_sum 'Pm3 H24 Rh12 Au3'
_cell_length_a 5.6482
_cell_length_b 5.6482
_cell_length_c 14.4226
_cell_angle_alpha 90.00
_cell_angle_beta 90.00
_cell_angle_gamma 120.00
_space_group_name_H-M_alt 'R 3 m'
_space_group_IT_number 160
_space_group_name_Hall 'R 3 -2"'
loop_
_atom_site_label
_atom_site_fract_x
_atom_site_fract_y
_atom_site_fract_z
_atom_site_occupancy
Pm1 0.0000 0.0000 0.0000 1
H1 0.0000 0.0000 0.1544 1
H2 0.0000 0.0000 0.6170 1
H3 0.2003 0.4006 0.4968 1
H4 0.2075 0.4151 0.9324 1
Rh1 0.0000 0.0000 0.7462 1
Rh2 0.1701 0.3402 0.2041 1
Au1 0.0000 0.0000 0.3787 1

Record 12
# YOsCl2 (GGA-PBE, relaxed)
# Relative energy among the computed polymorphs in eV/atom: 0.740
# D(E_F) in states/eV per atom: 1.2412
# Calculated volume in Å³ per cell: 314.47
# Magnetization in Bohr magnetons per cell: 11.11
# Formation energy (no corrections) in meV/atom: 165
data_YOsCl2
_chemical_formula_sum 'Y4 Os4 Cl8'
_cell_length_a 6.800
_cell_length_b 6.800
_cell_length_c 6.800
_cell_angle_alpha 90.00
_cell_angle_beta 90.00
_cell_angle_gamma 90.00
_space_group_name_H-M_alt 'F m -3 m'
_space_group_IT_number 225
_space_group_name_Hall '-F 4 2 3'
loop_
_atom_site_label
_atom_site_fract_x
_atom_site_fract_y
_atom_site_fract_z
_atom_site_occupancy
Y1 0.000 0.000 0.000 1
Os1 0.000 0.000 0.500 1
Cl1 0.250 0.250 0.250 1